[1]
A plane-wave DFT calculation with SCAN was carried out for a PBEsol-optimized structure of RbCaBr3.

Properties
As for the total energy: -1.465 Ry per atom. Its calculated volume is 32.696 Å³ per atom.

Cell lengths 9.4531, 4.3360, 15.9535 Å; angles 90.00, 90.00, 90.00 degrees
With the nearest neighbours (Å) after each atom.
Space group Pnma (No. 62)
Symmetry-distinct sites (fractional):
Rb 0.0741 0.2500 0.1778  8 Br 3.46-3.73
Ca 0.1695 0.7500 0.4431  6 Br 2.78-2.92
Br 0.0222 0.7500 0.6034  3 Ca 2.91-2.92
Br 0.1634 0.7500 0.0087  2 Ca 2.88
Br 0.2045 0.2500 0.7855  1 Ca 2.78

[2]
A plane-wave DFT calculation with SCAN was carried out for a PBEsol-optimized structure of Rb2CaTlBr.

Properties
As for the total energy: -2.130 Ry per atom. Its calculated volume is 53.873 Å³ per atom.

Cell lengths 6.6845, 6.6845, 6.0284 Å; angles 90.00, 90.00, 90.00 degrees
With the nearest neighbours (Å) after each atom.
Space group P4/mmm (No. 123)
Symmetry-distinct sites (fractional):
Rb 0.0000 0.5000 0.0000  2 Tl 3.34
Ca 0.0000 0.0000 0.5000  2 Tl 3.01
Tl 0.0000 0.0000 0.0000  2 Ca 3.01, 4 Rb 3.34
Br 0.5000 0.5000 0.5000  8 Rb 4.50, 4 Ca 4.73

[3]
A plane-wave DFT calculation with SCAN was carried out for a PBEsol-optimized structure of CaReBr3.

Properties
As for the total energy: -2.044 Ry per atom. Its calculated volume is 25.715 Å³ per atom.

Cell lengths 5.0472, 5.0472, 5.0472 Å; angles 90.00, 90.00, 90.00 degrees
With the nearest neighbours (Å) after each atom.
Space group Pm-3m (No. 221)
Symmetry-distinct sites (fractional):
Ca 0.0000 0.0000 0.0000  12 Br 3.57
Re 0.5000 0.5000 0.5000  6 Br 2.52
Br 0.0000 0.5000 0.5000  2 Re 2.52